--- a ---
Entry from the Alexandria database: a relaxed structure of MnCr2Tc2 (PBE-GGA).

- N(E_F) (states/eV per cell) = 11.40

Unit cell a=7.0934 b=7.0934 c=2.7937 alpha=90.00 beta=90.00 gamma=90.00
Fractional coordinates of all 10 atoms:
Cr (0.1544, 0.6544, 0.5000)
Cr (0.6544, 0.8456, 0.5000)
Cr (0.8456, 0.3456, 0.5000)
Cr (0.3456, 0.1544, 0.5000)
Mn (0.0000, 0.0000, 0.0000)
Mn (0.5000, 0.5000, 0.0000)
Tc (0.3539, 0.8539, 0.0000)
Tc (0.8539, 0.6461, 0.0000)
Tc (0.6461, 0.1461, 0.0000)
Tc (0.1461, 0.3539, 0.0000)

***

--- b ---
Entry from the Alexandria database: a relaxed structure of MnCr2Tc2 (PBE-GGA).

- N(E_F) (states/eV per cell) = 7.89

Unit cell a=3.0411 b=3.0411 c=7.6070 alpha=78.47 beta=78.47 gamma=90.00
Fractional coordinates of all 5 atoms:
Cr (0.7500, 0.2500, 0.5000)
Cr (0.2500, 0.7500, 0.5000)
Mn (0.0000, 0.0000, 0.0000)
Tc (0.4009, 0.4009, 0.1982)
Tc (0.5991, 0.5991, 0.8018)

***

Which structure is most stable, and how do the rest compare? From most to least stable: a, b.

***

--- a ---
Entry from the Alexandria database: a relaxed structure of MnCrTe3 (PBE-GGA).

- N(E_F) (states/eV per cell) = 10.31

Unit cell a=5.1148 b=5.1148 c=5.1148 alpha=90.00 beta=90.00 gamma=90.00
Fractional coordinates of all 5 atoms:
Cr (0.0000, 0.0000, 0.0000)
Te (0.0000, 0.5000, 0.0000)
Te (0.0000, 0.0000, 0.5000)
Te (0.5000, 0.0000, 0.0000)
Mn (0.5000, 0.5000, 0.5000)

***

--- b ---
Entry from the Alexandria database: a relaxed structure of MnCrTe3 (PBE-GGA).

- N(E_F) (states/eV per cell) = 3.17

Unit cell a=6.9826 b=6.9827 c=7.3104 alpha=61.47 beta=61.47 gamma=60.00
Fractional coordinates of all 10 atoms:
Mn (0.8430, 0.8430, 0.4709)
Mn (0.1570, 0.1570, 0.5291)
Cr (0.3416, 0.3416, 0.9752)
Cr (0.6584, 0.6584, 0.0248)
Te (0.7469, 0.4333, 0.7524)
Te (0.0674, 0.7468, 0.7524)
Te (0.4333, 0.0674, 0.7524)
Te (0.2531, 0.5667, 0.2476)
Te (0.9326, 0.2532, 0.2476)
Te (0.5667, 0.9326, 0.2476)

***

--- c ---
Entry from the Alexandria database: a relaxed structure of MnCrTe3 (PBE-GGA).

- N(E_F) (states/eV per cell) = 13.84

Unit cell a=4.9483 b=4.9483 c=4.9483 alpha=90.00 beta=90.00 gamma=90.00
Fractional coordinates of all 5 atoms:
Cr (0.5000, 0.5000, 0.5000)
Te (0.0000, 0.5000, 0.0000)
Te (0.0000, 0.0000, 0.5000)
Te (0.5000, 0.0000, 0.0000)
Mn (0.0000, 0.0000, 0.0000)

***

Which structure is most stable, and how do the rest compare? From most to least stable: b, a, c.

***

--- a ---
Entry from the Alexandria database: a relaxed structure of MnCr2Te4 (PBE-GGA).

- N(E_F) (states/eV per cell) = 5.35

Unit cell a=3.8937 b=6.8026 c=13.5450 alpha=90.00 beta=90.00 gamma=106.63
Fractional coordinates of all 14 atoms:
Mn (0.6164, 0.2327, 0.7500)
Mn (0.3836, 0.7673, 0.2500)
Cr (0.1328, 0.2656, 0.4305)
Cr (0.8672, 0.7344, 0.9305)
Cr (0.1328, 0.2656, 0.0695)
Cr (0.8672, 0.7344, 0.5695)
Te (0.7767, 0.5533, 0.1157)
Te (0.7767, 0.5533, 0.3843)
Te (0.2233, 0.4467, 0.8843)
Te (0.2233, 0.4467, 0.6157)
Te (0.9634, 0.9267, 0.7500)
Te (0.0366, 0.0733, 0.2500)
Te (0.5000, 0.0000, 0.0000)
Te (0.5000, 0.0000, 0.5000)

***

--- b ---
Entry from the Alexandria database: a relaxed structure of MnCr2Te4 (PBE-GGA).

- N(E_F) (states/eV per cell) = 9.05

Unit cell a=7.3304 b=7.3304 c=8.0826 alpha=106.50 beta=106.50 gamma=111.95
Fractional coordinates of all 14 atoms:
Cr (0.5138, 0.2465, 0.5128)
Cr (0.7512, 0.9840, 0.9875)
Cr (0.9840, 0.7512, 0.4875)
Cr (0.2465, 0.5138, 0.0128)
Mn (0.2639, 0.5139, 0.5003)
Mn (0.5139, 0.2639, 0.0003)
Te (0.7981, 0.2852, 0.8400)
Te (0.2852, 0.7981, 0.3400)
Te (0.2902, 0.7942, 0.8341)
Te (0.7942, 0.2902, 0.3341)
Te (0.2064, 0.2102, 0.6664)
Te (0.6954, 0.7083, 0.1604)
Te (0.7083, 0.6954, 0.6604)
Te (0.2102, 0.2064, 0.1664)

***

Which structure is most stable, and how do the rest compare? From most to least stable: b, a.

***

--- a ---
Entry from the Alexandria database: a relaxed structure of TiMnCr2 (PBE-GGA).

- N(E_F) (states/eV per cell) = 2.15

Unit cell a=2.9084 b=4.1151 c=4.1151 alpha=90.00 beta=90.00 gamma=90.00
Fractional coordinates of all 4 atoms:
Cr (0.0000, 0.0000, 0.5000)
Cr (0.0000, 0.5000, 0.0000)
Mn (0.5000, 0.0000, 0.0000)
Ti (0.5000, 0.5000, 0.5000)

***

--- b ---
Entry from the Alexandria database: a relaxed structure of TiMnCr2 (PBE-GGA).

- N(E_F) (states/eV per cell) = 2.54

Unit cell a=4.1069 b=4.1069 c=4.1069 alpha=60.00 beta=60.00 gamma=60.00
Fractional coordinates of all 4 atoms:
Cr (0.2500, 0.2500, 0.2500)
Cr (0.7500, 0.7500, 0.7500)
Mn (0.0000, 0.0000, 0.0000)
Ti (0.5000, 0.5000, 0.5000)

***

--- c ---
Entry from the Alexandria database: a relaxed structure of TiMnCr2 (PBE-GGA).

- N(E_F) (states/eV per cell) = 11.59

Unit cell a=6.5715 b=6.5715 c=5.2630 alpha=51.37 beta=51.37 gamma=90.00
Fractional coordinates of all 8 atoms:
Cr (0.6613, 0.1250, 0.2500)
Cr (0.0887, 0.6250, 0.2500)
Cr (0.3750, 0.3387, 0.7500)
Cr (0.8750, 0.9113, 0.7500)
Mn (0.0000, 0.0000, 0.0000)
Mn (0.7500, 0.2500, 0.5000)
Ti (0.5000, 0.5000, 0.0000)
Ti (0.2500, 0.7500, 0.5000)

***

Which structure is most stable, and how do the rest compare? From most to least stable: b, a, c.

***

--- a ---
Entry from the Alexandria database: a relaxed structure of Ti3MnCr (PBE-GGA).

- N(E_F) (states/eV per cell) = 9.05

Unit cell a=4.4077 b=4.4077 c=4.4077 alpha=90.00 beta=90.00 gamma=90.00
Fractional coordinates of all 5 atoms:
Cr (0.0000, 0.0000, 0.0000)
Mn (0.5000, 0.5000, 0.5000)
Ti (0.0000, 0.5000, 0.0000)
Ti (0.0000, 0.0000, 0.5000)
Ti (0.5000, 0.0000, 0.0000)

***

--- b ---
Entry from the Alexandria database: a relaxed structure of Ti3MnCr (PBE-GGA).

- N(E_F) (states/eV per cell) = 9.53

Unit cell a=4.4087 b=4.4087 c=4.4087 alpha=90.00 beta=90.00 gamma=90.00
Fractional coordinates of all 5 atoms:
Cr (0.5000, 0.5000, 0.5000)
Mn (0.0000, 0.0000, 0.0000)
Ti (0.0000, 0.5000, 0.0000)
Ti (0.0000, 0.0000, 0.5000)
Ti (0.5000, 0.0000, 0.0000)

***

Which structure is most stable, and how do the rest compare? From most to least stable: b, a.

***

--- a ---
Entry from the Alexandria database: a relaxed structure of MnTlCr2 (PBE-GGA).

- N(E_F) (states/eV per cell) = 2.38

Unit cell a=3.0022 b=3.0022 c=6.9552 alpha=90.00 beta=90.00 gamma=89.99
Fractional coordinates of all 4 atoms:
Cr (0.0000, 0.0000, 0.0531)
Cr (0.5000, 0.5000, 0.2441)
Mn (0.0000, 0.0000, 0.4528)
Tl (0.5000, 0.5000, 0.7500)

***

--- b ---
Entry from the Alexandria database: a relaxed structure of MnTlCr2 (PBE-GGA).

- N(E_F) (states/eV per cell) = 4.48

Unit cell a=5.0354 b=5.0354 c=5.0354 alpha=143.47 beta=129.10 gamma=64.26
Fractional coordinates of all 4 atoms:
Cr (0.0182, 0.0182, 0.0000)
Cr (0.4818, 0.4818, 0.0000)
Mn (0.2500, 0.7500, 0.5000)
Tl (0.7500, 0.2500, 0.5000)

***

Which structure is most stable, and how do the rest compare? From most to least stable: a, b.

***

--- a ---
Entry from the Alexandria database: a relaxed structure of MnTlCr3 (PBE-GGA).

- N(E_F) (states/eV per cell) = 4.28

Unit cell a=5.1515 b=5.1515 c=5.1515 alpha=90.00 beta=90.00 gamma=90.00
Fractional coordinates of all 5 atoms:
Cr (0.0000, 0.5000, 0.0000)
Cr (0.0000, 0.0000, 0.5000)
Cr (0.5000, 0.0000, 0.0000)
Tl (0.0000, 0.0000, 0.0000)
Mn (0.5000, 0.5000, 0.5000)

***

--- b ---
Entry from the Alexandria database: a relaxed structure of MnTlCr3 (PBE-GGA).

- N(E_F) (states/eV per cell) = 7.26

Unit cell a=4.4615 b=4.4615 c=4.4615 alpha=90.00 beta=90.00 gamma=90.00
Fractional coordinates of all 5 atoms:
Cr (0.0000, 0.5000, 0.0000)
Cr (0.0000, 0.0000, 0.5000)
Cr (0.5000, 0.0000, 0.0000)
Tl (0.5000, 0.5000, 0.5000)
Mn (0.0000, 0.0000, 0.0000)

***

Which structure is most stable, and how do the rest compare? From most to least stable: b, a.

***

--- a ---
Entry from the Alexandria database: a relaxed structure of UMnCr (PBE-GGA).

- N(E_F) (states/eV per cell) = 3.51

Unit cell a=2.8004 b=2.8004 c=5.8703 alpha=103.80 beta=103.80 gamma=90.00
Fractional coordinates of all 3 atoms:
Cr (0.6929, 0.6929, 0.3857)
Mn (0.3086, 0.3086, 0.6172)
U (0.9986, 0.9986, 0.9971)

***

--- b ---
Entry from the Alexandria database: a relaxed structure of UMnCr (PBE-GGA).

- N(E_F) (states/eV per cell) = 2.89

Unit cell a=2.7370 b=4.1951 c=4.1951 alpha=120.00 beta=90.00 gamma=90.00
Fractional coordinates of all 3 atoms:
Cr (0.2408, 0.3333, 0.6667)
Mn (0.7473, 0.6667, 0.3333)
U (0.0119, 0.0000, 0.0000)

***

Which structure is most stable, and how do the rest compare? From most to least stable: a, b.

***

--- a ---
Entry from the Alexandria database: a relaxed structure of MnV6Cr3 (PBE-GGA).

- N(E_F) (states/eV per cell) = 20.37

Unit cell a=4.1186 b=7.1681 c=8.7815 alpha=105.96 beta=90.00 gamma=90.00
Fractional coordinates of all 20 atoms:
Mn (0.2500, 0.9499, 0.5989)
Mn (0.7500, 0.0501, 0.4011)
V (0.2500, 0.4544, 0.1008)
V (0.7500, 0.5456, 0.8992)
V (0.2500, 0.1503, 0.2003)
V (0.7500, 0.8497, 0.7997)
V (0.2500, 0.6463, 0.6962)
V (0.7500, 0.3537, 0.3038)
V (0.2500, 0.2471, 0.5020)
V (0.7500, 0.7529, 0.4980)
V (0.2500, 0.8489, 0.3039)
V (0.7500, 0.1511, 0.6961)
V (0.2500, 0.0535, 0.8967)
V (0.7500, 0.9465, 0.1033)
Cr (0.2500, 0.5491, 0.3996)
Cr (0.7500, 0.4509, 0.6004)
Cr (0.2500, 0.3497, 0.7995)
Cr (0.7500, 0.6503, 0.2005)
Cr (0.2500, 0.7517, 0.0005)
Cr (0.7500, 0.2483, 0.9995)

***

--- b ---
Entry from the Alexandria database: a relaxed structure of MnV6Cr3 (PBE-GGA).

- N(E_F) (states/eV per cell) = 19.72

Unit cell a=2.7717 b=9.4772 c=10.9510 alpha=115.35 beta=90.00 gamma=90.00
Fractional coordinates of all 20 atoms:
Mn (0.7500, 0.1219, 0.6636)
Mn (0.2500, 0.8781, 0.3364)
V (0.7500, 0.6008, 0.7179)
V (0.2500, 0.3992, 0.2821)
V (0.7500, 0.8613, 0.1506)
V (0.2500, 0.1387, 0.8494)
V (0.7500, 0.3689, 0.0727)
V (0.2500, 0.6311, 0.9273)
V (0.7500, 0.6607, 0.3228)
V (0.2500, 0.3393, 0.6772)
V (0.7500, 0.1132, 0.4522)
V (0.2500, 0.8868, 0.5478)
V (0.7500, 0.8779, 0.7539)
V (0.2500, 0.1221, 0.2461)
Cr (0.7500, 0.4001, 0.8860)
Cr (0.2500, 0.5999, 0.1140)
Cr (0.7500, 0.6218, 0.5162)
Cr (0.2500, 0.3782, 0.4838)
Cr (0.7500, 0.1112, 0.0476)
Cr (0.2500, 0.8888, 0.9524)

***

Which structure is most stable, and how do the rest compare? From most to least stable: a, b.

***

--- a ---
Entry from the Alexandria database: a relaxed structure of MnVCr4 (PBE-GGA).

- N(E_F) (states/eV per cell) = 17.30

Unit cell a=5.4771 b=5.4771 c=6.7676 alpha=113.87 beta=113.87 gamma=90.00
Fractional coordinates of all 12 atoms:
Mn (0.0000, 0.5000, 0.0000)
Mn (0.5000, 0.0000, 0.0000)
V (0.7500, 0.7500, 0.5000)
V (0.2500, 0.2500, 0.5000)
Cr (0.8699, 0.8704, 0.2403)
Cr (0.6296, 0.6301, 0.7597)
Cr (0.1301, 0.1296, 0.7597)
Cr (0.6301, 0.1301, 0.7597)
Cr (0.3704, 0.3699, 0.2403)
Cr (0.8704, 0.3704, 0.2403)
Cr (0.3699, 0.8699, 0.2403)
Cr (0.1296, 0.6296, 0.7597)

***

--- b ---
Entry from the Alexandria database: a relaxed structure of MnVCr4 (PBE-GGA).

- N(E_F) (states/eV per cell) = 10.27

Unit cell a=4.5671 b=5.9799 c=6.1748 alpha=110.94 beta=111.70 gamma=90.00
Fractional coordinates of all 12 atoms:
Mn (0.5000, 0.5000, 0.5000)
Mn (0.0000, 0.0000, 0.5000)
V (0.9145, 0.7500, 0.0000)
V (0.0855, 0.2500, 0.0000)
Cr (0.3564, 0.0936, 0.3481)
Cr (0.9917, 0.5936, 0.3481)
Cr (0.6963, 0.1567, 0.1668)
Cr (0.4705, 0.6567, 0.1668)
Cr (0.3037, 0.8433, 0.8332)
Cr (0.5295, 0.3433, 0.8332)
Cr (0.6436, 0.9064, 0.6519)
Cr (0.0083, 0.4064, 0.6519)

***

--- c ---
Entry from the Alexandria database: a relaxed structure of MnVCr4 (PBE-GGA).

- N(E_F) (states/eV per cell) = 5.96

Unit cell a=4.7275 b=4.7275 c=4.7275 alpha=60.00 beta=60.00 gamma=60.00
Fractional coordinates of all 6 atoms:
Cr (0.6245, 0.6245, 0.1265)
Cr (0.6245, 0.1265, 0.6245)
Cr (0.6245, 0.6245, 0.6245)
Cr (0.1265, 0.6245, 0.6245)
Mn (0.0000, 0.0000, 0.0000)
V (0.2500, 0.2500, 0.2500)

***

Which structure is most stable, and how do the rest compare? From most to least stable: c, b, a.